This record from the Alexandria database describes TaSiAs2 after structural relaxation. The functional is PBE-GGA.

Output
Its raw formation energy is 0.31 eV/atom. The value obtained for the total energy is -25.35 eV/cell. As for the total magnetization: 0.0000 μB per atom.

Geometry as CIF:
```
data_TaSiAs2
_symmetry_space_group_name_H-M 'P m m m'
_symmetry_Int_Tables_number 47
_cell_length_a 3.2440
_cell_length_b 4.4093
_cell_length_c 4.7852
_cell_angle_alpha 90.00
_cell_angle_beta 90.00
_cell_angle_gamma 90.00
loop_
_symmetry_equiv_pos_as_xyz
'x,y,z'
'-x,-y,-z'
'-x,-y,z'
'x,y,-z'
'x,-y,-z'
'-x,y,z'
'-x,y,-z'
'x,-y,z'
loop_
_atom_site_label
_atom_site_type_symbol
_atom_site_fract_x
_atom_site_fract_y
_atom_site_fract_z
Ta1 Ta 0.0000 0.0000 0.0000
Si1 Si 0.5000 0.0000 0.5000
As1 As 0.0000 0.5000 0.5000
As2 As 0.5000 0.5000 0.0000
```